1.
The following is a DFT calculation (GGA-PBE) of a geometry-optimized YHoPd structure.

Cell lengths 4.7798, 4.7798, 3.8092 Å; angles 90.00, 90.00, 120.00 degrees
Space group P3m1 (No. 156)
Inequivalent atoms, fractional coordinates:
Y  0.0000  0.0000  0.0000 (multiplicity 1)
Ho  0.3333  0.6667  0.4668 (multiplicity 1)
Pd  0.6667  0.3333  0.7121 (multiplicity 1)

Its total energy is -5.805 eV per atom. The calculated volume comes out at 75 Å³/cell. Its density of states at the Fermi level is 2.9 states/eV/f.u. As for the magnetic moment: 0.000 μB per cell.



2.
The following is a DFT calculation (GGA-PBE) of a geometry-optimized Y2HoPd structure.

Cell lengths 7.017, 9.713, 6.498 Å; angles 90.00, 90.00, 90.00 degrees
Space group Pnma (No. 62)
Inequivalent atoms, fractional coordinates:
Y  0.182  0.059  0.178 (multiplicity 8)
Ho  0.025  0.250  0.632 (multiplicity 4)
Pd  0.110  0.750  0.951 (multiplicity 4)

Its total energy is -6.148 eV per atom. The calculated volume comes out at 443 Å³/cell. Its density of states at the Fermi level is 4.9 states/eV/f.u. As for the magnetic moment: 0.000 μB per cell.



3.
The following is a DFT calculation (GGA-PBE) of a geometry-optimized Y3Ho4Pd2 structure.

Cell lengths 16.076, 3.713, 9.246 Å; angles 90.00, 113.98, 90.00 degrees
Space group C2/m (No. 12)
Inequivalent atoms, fractional coordinates:
Y  0.000  0.000  0.000 (multiplicity 2)
Y  0.132  0.500  0.379 (multiplicity 4)
Ho  0.089  0.000  0.684 (multiplicity 4)
Ho  0.180  0.500  0.041 (multiplicity 4)
Pd  0.243  0.500  0.713 (multiplicity 4)

Its total energy is -5.704 eV per atom. The calculated volume comes out at 504 Å³/cell. Its density of states at the Fermi level is 11.3 states/eV/f.u. As for the magnetic moment: 0.001 μB per cell.



4.
The following is a DFT calculation (GGA-PBE) of a geometry-optimized Y3HoPd3 structure.

Cell lengths 9.244, 10.424, 7.113 Å; angles 90.00, 92.13, 90.00 degrees
Space group C2/m (No. 12)
Inequivalent atoms, fractional coordinates:
Y  0.000  0.176  0.000 (multiplicity 4)
Y  0.000  0.253  0.500 (multiplicity 4)
Y  0.152  0.500  0.866 (multiplicity 4)
Ho  0.241  0.500  0.376 (multiplicity 4)
Pd  0.062  0.000  0.310 (multiplicity 4)
Pd  0.241  0.258  0.219 (multiplicity 8)

Its total energy is -6.345 eV per atom. The calculated volume comes out at 685 Å³/cell. Its density of states at the Fermi level is 5.3 states/eV/f.u. As for the magnetic moment: 0.000 μB per cell.



5.
The following is a DFT calculation (GGA-PBE) of a geometry-optimized YHo4Pd4 structure.

Cell lengths 8.972, 8.972, 5.741 Å; angles 90.00, 90.00, 90.00 degrees
Space group P4_2/n (No. 86, origin choice 2)
Inequivalent atoms, fractional coordinates:
Y  0.250  0.250  0.250 (multiplicity 2)
Ho  0.073  0.657  0.161 (multiplicity 8)
Pd  0.034  0.625  0.658 (multiplicity 8)

Its total energy is -5.739 eV per atom. The calculated volume comes out at 462 Å³/cell. Its density of states at the Fermi level is 7.1 states/eV/f.u. As for the magnetic moment: 0.000 μB per cell.



6.
The following is a DFT calculation (GGA-PBE) of a geometry-optimized YHoPd2 structure.

Cell lengths 4.0934, 4.0934, 19.8304 Å; angles 90.00, 90.00, 120.00 degrees
Space group R-3m (No. 166, hexagonal axes)
Inequivalent atoms, fractional coordinates:
Y  0.0000  0.0000  0.0000 (multiplicity 3)
Ho  0.0000  0.0000  0.5000 (multiplicity 3)
Pd  0.0000  0.0000  0.2482 (multiplicity 6)

Its total energy is -6.087 eV per atom. The calculated volume comes out at 288 Å³/cell. Its density of states at the Fermi level is 3.2 states/eV/f.u. As for the magnetic moment: 0.000 μB per cell.



7.
The following is a DFT calculation (GGA-PBE) of a geometry-optimized Y2HoPd structure.

Cell lengths 3.7240, 3.7240, 28.7113 Å; angles 90.00, 90.00, 120.00 degrees
Space group R3m (No. 160, hexagonal axes)
Inequivalent atoms, fractional coordinates:
Y  0.0000  0.0000  0.0000 (multiplicity 3)
Y  0.0000  0.0000  0.2011 (multiplicity 3)
Ho  0.0000  0.0000  0.4350 (multiplicity 3)
Pd  0.0000  0.0000  0.6004 (multiplicity 3)

Its total energy is -5.961 eV per atom. The calculated volume comes out at 345 Å³/cell. Its density of states at the Fermi level is 5.0 states/eV/f.u. As for the magnetic moment: 1.206 μB per cell.



8.
The following is a DFT calculation (GGA-PBE) of a geometry-optimized YHo2Pd3 structure.

Cell lengths 3.502, 3.502, 10.504 Å; angles 90.00, 90.00, 90.00 degrees
Space group P4/mmm (No. 123)
Inequivalent atoms, fractional coordinates:
Y  0.000  0.000  0.000 (multiplicity 1)
Ho  0.000  0.000  0.334 (multiplicity 2)
Pd  0.500  0.500  0.171 (multiplicity 2)
Pd  0.500  0.500  0.500 (multiplicity 1)

Its total energy is -6.092 eV per atom. The calculated volume comes out at 129 Å³/cell. Its density of states at the Fermi level is 4.1 states/eV/f.u. As for the magnetic moment: 0.000 μB per cell.



9.
The following is a DFT calculation (GGA-PBE) of a geometry-optimized Y2Ho2Pd structure.

Cell lengths 7.623, 11.860, 7.459 Å; angles 90.00, 117.96, 90.00 degrees
Space group C2/m (No. 12)
Inequivalent atoms, fractional coordinates:
Y  0.027  0.216  0.251 (multiplicity 8)
Ho  0.242  0.000  0.617 (multiplicity 4)
Ho  0.247  0.500  0.889 (multiplicity 4)
Pd  0.000  0.381  0.500 (multiplicity 4)

Its total energy is -5.719 eV per atom. The calculated volume comes out at 596 Å³/cell. Its density of states at the Fermi level is 7.7 states/eV/f.u. As for the magnetic moment: 0.000 μB per cell.



10.
The following is a DFT calculation (GGA-PBE) of a geometry-optimized YHoPd4 structure.

Cell lengths 3.935, 3.935, 8.465 Å; angles 90.00, 90.00, 90.00 degrees
Space group P4/mmm (No. 123)
Inequivalent atoms, fractional coordinates:
Y  0.000  0.000  0.000 (multiplicity 1)
Ho  0.500  0.500  0.500 (multiplicity 1)
Pd  0.000  0.500  0.253 (multiplicity 4)

Its total energy is -5.910 eV per atom. The calculated volume comes out at 131 Å³/cell. Its density of states at the Fermi level is 2.4 states/eV/f.u. As for the magnetic moment: 0.000 μB per cell.



11.
The following is a DFT calculation (GGA-PBE) of a geometry-optimized Y3HoPd6 structure.

Cell lengths 8.360, 4.659, 11.053 Å; angles 90.00, 106.00, 90.00 degrees
Space group P2_1/m (No. 11)
Inequivalent atoms, fractional coordinates:
Y  0.009  0.250  0.119 (multiplicity 2)
Y  0.105  0.250  0.660 (multiplicity 2)
Y  0.340  0.750  0.508 (multiplicity 2)
Ho  0.411  0.750  0.086 (multiplicity 2)
Pd  0.130  0.250  0.396 (multiplicity 2)
Pd  0.178  0.750  0.239 (multiplicity 2)
Pd  0.229  0.250  0.938 (multiplicity 2)
Pd  0.325  0.750  0.801 (multiplicity 2)
Pd  0.370  0.250  0.260 (multiplicity 2)
Pd  0.440  0.250  0.658 (multiplicity 2)

Its total energy is -6.360 eV per atom. The calculated volume comes out at 414 Å³/cell. Its density of states at the Fermi level is 4.9 states/eV/f.u. As for the magnetic moment: 0.000 μB per cell.



12.
The following is a DFT calculation (GGA-PBE) of a geometry-optimized YHo3Pd3 structure.

Cell lengths 9.8599, 9.8599, 5.9945 Å; angles 90.00, 90.00, 120.00 degrees
Space group R-3m (No. 166, hexagonal axes)
Inequivalent atoms, fractional coordinates:
Y  0.0000  0.0000  0.0000 (multiplicity 3)
Ho  0.0000  0.5000  0.0000 (multiplicity 9)
Pd  0.0000  0.5000  0.5000 (multiplicity 9)

Its total energy is -5.820 eV per atom. The calculated volume comes out at 505 Å³/cell. Its density of states at the Fermi level is 6.1 states/eV/f.u. As for the magnetic moment: 0.000 μB per cell.



13.
The following is a DFT calculation (GGA-PBE) of a geometry-optimized Y3HoPd structure.

Cell lengths 12.227, 3.726, 13.886 Å; angles 90.00, 115.69, 90.00 degrees
Space group Cm (No. 8)
Inequivalent atoms, fractional coordinates:
Y  0.000  0.000  0.000 (multiplicity 2)
Y  0.023  0.000  0.365 (multiplicity 2)
Y  0.178  0.500  0.238 (multiplicity 2)
Y  0.289  0.500  0.526 (multiplicity 2)
Y  0.325  0.000  0.764 (multiplicity 2)
Y  0.351  0.000  0.126 (multiplicity 2)
Ho  0.059  0.500  0.605 (multiplicity 2)
Ho  0.172  0.500  0.891 (multiplicity 2)
Pd  0.011  0.000  0.740 (multiplicity 2)
Pd  0.344  0.000  0.391 (multiplicity 2)

Its total energy is -6.192 eV per atom. The calculated volume comes out at 570 Å³/cell. Its density of states at the Fermi level is 6.4 states/eV/f.u. As for the magnetic moment: 0.002 μB per cell.



14.
The following is a DFT calculation (GGA-PBE) of a geometry-optimized YHo6Pd2 structure.

Cell lengths 16.029, 3.668, 10.777 Å; angles 90.00, 129.17, 90.00 degrees
Space group C2/m (No. 12)
Inequivalent atoms, fractional coordinates:
Y  0.000  0.000  0.000 (multiplicity 2)
Ho  0.032  0.000  0.690 (multiplicity 4)
Ho  0.194  0.500  0.055 (multiplicity 4)
Ho  0.214  0.500  0.611 (multiplicity 4)
Pd  0.095  0.500  0.269 (multiplicity 4)

Its total energy is -5.297 eV per atom. The calculated volume comes out at 491 Å³/cell. Its density of states at the Fermi level is 10.1 states/eV/f.u. As for the magnetic moment: 0.000 μB per cell.



15.
The following is a DFT calculation (GGA-PBE) of a geometry-optimized YHoPd2 structure.

Cell lengths 4.527, 3.757, 10.560 Å; angles 90.00, 90.00, 90.00 degrees
Space group Amm2 (No. 38)
Inequivalent atoms, fractional coordinates:
Y  0.000  0.000  0.000 (multiplicity 2)
Ho  0.500  0.000  0.725 (multiplicity 2)
Pd  0.000  0.000  0.275 (multiplicity 2)
Pd  0.500  0.000  0.447 (multiplicity 2)

Its total energy is -6.273 eV per atom. The calculated volume comes out at 180 Å³/cell. Its density of states at the Fermi level is 3.5 states/eV/f.u. As for the magnetic moment: 0.000 μB per cell.



16.
The following is a DFT calculation (GGA-PBE) of a geometry-optimized YHoPd structure.

Cell lengths 12.732, 3.543, 7.089 Å; angles 90.00, 106.14, 90.00 degrees
Space group C2/m (No. 12)
Inequivalent atoms, fractional coordinates:
Y  0.137  0.000  0.068 (multiplicity 4)
Ho  0.138  0.000  0.569 (multiplicity 4)
Pd  0.000  0.500  0.260 (multiplicity 4)

Its total energy is -5.968 eV per atom. The calculated volume comes out at 307 Å³/cell. Its density of states at the Fermi level is 2.6 states/eV/f.u. As for the magnetic moment: 0.000 μB per cell.



17.
The following is a DFT calculation (GGA-PBE) of a geometry-optimized YHo2Pd2 structure.

Cell lengths 6.529, 6.541, 6.612 Å; angles 90.00, 116.01, 90.00 degrees
Space group C2/m (No. 12)
Inequivalent atoms, fractional coordinates:
Y  0.000  0.000  0.000 (multiplicity 2)
Ho  0.000  0.251  0.500 (multiplicity 4)
Pd  0.127  0.500  0.219 (multiplicity 4)

Its total energy is -5.742 eV per atom. The calculated volume comes out at 254 Å³/cell. Its density of states at the Fermi level is 5.5 states/eV/f.u. As for the magnetic moment: 0.000 μB per cell.



18.
The following is a DFT calculation (GGA-PBE) of a geometry-optimized YHo4Pd2 structure.

Cell lengths 3.9664, 3.9664, 44.4825 Å; angles 90.00, 90.00, 120.00 degrees
Space group R-3m (No. 166, hexagonal axes)
Inequivalent atoms, fractional coordinates:
Y  0.0000  0.0000  0.0000 (multiplicity 3)
Ho  0.0000  0.0000  0.1980 (multiplicity 6)
Ho  0.0000  0.0000  0.3960 (multiplicity 6)
Pd  0.0000  0.0000  0.0990 (multiplicity 6)

Its total energy is -5.390 eV per atom. The calculated volume comes out at 606 Å³/cell. Its density of states at the Fermi level is 8.5 states/eV/f.u. As for the magnetic moment: 0.000 μB per cell.



19.
The following is a DFT calculation (GGA-PBE) of a geometry-optimized YHo2Pd2 structure.

Cell lengths 7.810, 7.810, 3.919 Å; angles 90.00, 90.00, 90.00 degrees
Space group P4/mbm (No. 127)
Inequivalent atoms, fractional coordinates:
Y  0.000  0.000  0.000 (multiplicity 2)
Ho  0.164  0.336  0.500 (multiplicity 4)
Pd  0.132  0.632  0.000 (multiplicity 4)

Its total energy is -5.938 eV per atom. The calculated volume comes out at 239 Å³/cell. Its density of states at the Fermi level is 4.3 states/eV/f.u. As for the magnetic moment: 0.000 μB per cell.



20.
The following is a DFT calculation (GGA-PBE) of a geometry-optimized YHo3Pd2 structure.

Cell lengths 6.896, 13.641, 7.105 Å; angles 90.00, 90.00, 90.00 degrees
Space group Ibam (No. 72)
Inequivalent atoms, fractional coordinates:
Y  0.000  0.000  0.000 (multiplicity 4)
Ho  0.000  0.234  0.250 (multiplicity 8)
Ho  0.000  0.500  0.250 (multiplicity 4)
Pd  0.207  0.359  0.000 (multiplicity 8)

Its total energy is -5.604 eV per atom. The calculated volume comes out at 668 Å³/cell. Its density of states at the Fermi level is 6.2 states/eV/f.u. As for the magnetic moment: 0.000 μB per cell.